Entry 1:
First-principles (PBE-GGA) data for a relaxed Tl4Hg7Pb crystal, as listed in the Alexandria database.

Properties
Formation enthalpy at 0 K = 0.2 eV per formula unit
ΔE to the lowest computed polymorph = 1.01 kJ per mole of atoms
Raw total energy = -1.259 eV per atom

Cell: 7.498 7.498 9.931 Å, 118.68 118.68 49.83°
Element x y z (fractional)
Tl (0.003, 0.003, 0.177)
Tl (0.255, 0.255, 0.827)
Tl (0.745, 0.745, 0.173)
Tl (0.997, 0.997, 0.823)
Hg (0.000, 0.000, 0.500)
Hg (0.251, 0.251, 0.164)
Hg (0.256, 0.256, 0.499)
Hg (0.498, 0.498, 0.167)
Hg (0.502, 0.502, 0.833)
Hg (0.744, 0.744, 0.501)
Hg (0.749, 0.749, 0.836)
Pb (0.500, 0.500, 0.500)

Entry 2:
First-principles (PBE-GGA) data for a relaxed CsGa6Ge2 crystal, as listed in the Alexandria database.

Properties
Formation enthalpy at 0 K = 0.1 eV per formula unit
Raw total energy = -3.127 eV per atom

Cell: 4.210 4.210 12.122 Å, 90.00 90.00 90.00°
Element x y z (fractional)
Cs (0.000, 0.000, 0.000)
Ga (0.000, 0.000, 0.500)
Ga (0.000, 0.500, 0.323)
Ga (0.000, 0.500, 0.677)
Ga (0.500, 0.000, 0.323)
Ga (0.500, 0.000, 0.677)
Ga (0.500, 0.500, 0.500)
Ge (0.500, 0.500, 0.189)
Ge (0.500, 0.500, 0.811)